# 1
# Ca2PrErAu4

Crystalline Ca2PrErAu4 at its relaxed geometry (GGA-PBE, the Alexandria database).

Output
V ... 578 Å³ per cell
E_tot ... -0.302 Ry per atom
Magnetization ... 0.0 μB/f.u.

Unit cell a=5.1352 b=5.1352 c=25.2880 alpha=90.00 beta=90.00 gamma=120.00
Space group R-3m (No. 166, hexagonal axes)
Inequivalent atoms, fractional coordinates:
1 Ca 0.0000 0.0000 0.2491 (multiplicity 6)
2 Pr 0.0000 0.0000 0.0000 (multiplicity 3)
3 Er 0.0000 0.0000 0.5000 (multiplicity 3)
4 Au 0.0000 0.0000 0.1278 (multiplicity 6)
5 Au 0.0000 0.0000 0.3801 (multiplicity 6)



# 2
# HfPaCoNi

Crystalline HfPaCoNi at its relaxed geometry (GGA-PBE, the Alexandria database).

Output
V ... 278 Å³ per cell
E_tot ... -0.609 Ry per atom
Magnetization ... 0.0 μB/f.u.

Unit cell a=6.5234 b=6.5234 c=6.5234 alpha=90.00 beta=90.00 gamma=90.00
Space group F-43m (No. 216)
Inequivalent atoms, fractional coordinates:
1 Hf 0.0000 0.0000 0.0000 (multiplicity 4)
2 Pa 0.0000 0.0000 0.5000 (multiplicity 4)
3 Co 0.2500 0.2500 0.2500 (multiplicity 4)
4 Ni 0.2500 0.2500 0.7500 (multiplicity 4)